# 1
A plane-wave DFT calculation with PBE was carried out for an optimized crystal structure of Cs4Rb2I.

POSCAR file:
```
Cs4Rb2I
1.0
-2.952 -6.894 0.654
6.759 -2.713 1.903
-0.616 -2.575 13.409
I Cs Rb
1 4 2
Direct
0.000 0.000 0.000
0.159 0.159 0.682
0.000 0.500 0.000
0.841 0.841 0.318
0.500 0.000 0.000
0.352 0.352 0.297
0.648 0.648 0.703
```

Properties
SG: I4/mmm, No. 139

# 2
A plane-wave DFT calculation with PBE was carried out for an optimized crystal structure of Cs2RbI.

POSCAR file:
```
Cs2RbI
1.0
-2.612 -11.368 -1.533
9.718 -1.357 -6.491
6.267 -7.568 0.302
Cs Rb I
4 2 2
Direct
0.875 0.960 0.750
0.375 0.290 0.750
0.710 0.125 0.250
0.040 0.625 0.250
0.250 0.750 0.500
0.500 0.500 0.000
0.750 0.250 0.500
0.000 0.000 0.000
```

Properties
SG: I-42d, No. 122

# 3
A plane-wave DFT calculation with PBE was carried out for an optimized crystal structure of Cs2Rb6I.

POSCAR file:
```
Cs2Rb6I
1.0
5.136 0.000 0.000
-2.568 4.448 0.000
0.000 0.000 34.611
Rb I Cs
6 1 2
Direct
0.333 0.667 0.184
0.333 0.667 0.433
0.333 0.667 0.567
0.667 0.333 0.934
0.333 0.667 0.816
0.667 0.333 0.066
0.333 0.667 0.000
0.667 0.333 0.691
0.667 0.333 0.309
```

Properties
SG: P-6m2, No. 187

# 4
A plane-wave DFT calculation with PBE was carried out for an optimized crystal structure of Cs3RbI3.

POSCAR file:
```
Cs3RbI3
1.0
10.665 0.000 0.000
0.000 10.665 0.000
0.000 0.000 10.665
Cs Rb I
6 2 6
Direct
0.750 0.000 0.500
0.250 0.000 0.500
0.000 0.500 0.750
0.500 0.250 0.000
0.500 0.750 0.000
0.000 0.500 0.250
0.500 0.500 0.500
0.000 0.000 0.000
0.750 0.500 0.000
0.250 0.500 0.000
0.000 0.750 0.500
0.500 0.000 0.250
0.500 0.000 0.750
0.000 0.250 0.500
```

Properties
SG: Pm-3n, No. 223

# 5
A plane-wave DFT calculation with PBE was carried out for an optimized crystal structure of CsRb2I2.

POSCAR file:
```
CsRb2I2
1.0
-3.116 3.116 8.854
3.116 -3.116 8.854
3.116 3.116 -8.854
Rb Cs I
2 1 2
Direct
0.250 0.750 0.500
0.750 0.250 0.500
0.000 0.000 0.000
0.361 0.361 0.000
0.639 0.639 0.000
```

Properties
SG: I4/mmm, No. 139

# 6
A plane-wave DFT calculation with PBE was carried out for an optimized crystal structure of Cs8RbI2.

POSCAR file:
```
Cs8RbI2
1.0
7.343 0.010 2.580
3.647 11.611 1.355
-0.164 0.072 12.244
Cs I Rb
8 2 1
Direct
0.174 0.326 0.326
0.500 0.326 0.674
0.839 0.325 0.997
0.161 0.675 0.003
0.161 0.003 0.675
0.839 0.997 0.325
0.826 0.674 0.674
0.500 0.674 0.326
0.000 0.340 0.660
0.000 0.660 0.340
0.500 0.000 0.000
```

Properties
SG: C2/m, No. 12

# 7
A plane-wave DFT calculation with PBE was carried out for an optimized crystal structure of CsRb4I5.

POSCAR file:
```
CsRb4I5
1.0
5.232 0.000 -1.009
-0.389 7.270 -2.018
0.010 -0.007 14.115
I Cs Rb
5 1 4
Direct
0.605 0.105 0.211
0.199 0.699 0.399
0.395 0.895 0.789
0.801 0.301 0.601
0.000 0.500 0.000
0.000 0.000 0.000
0.798 0.798 0.595
0.601 0.601 0.202
0.202 0.202 0.405
0.399 0.399 0.798
```

Properties
SG: Immm, No. 71

# 8
A plane-wave DFT calculation with PBE was carried out for an optimized crystal structure of Cs3RbI3.

POSCAR file:
```
Cs3RbI3
1.0
-2.231 7.336 -1.062
-2.426 0.325 7.343
7.004 2.450 2.206
I Cs Rb
3 3 1
Direct
0.000 0.500 0.500
0.500 0.000 0.500
0.500 0.500 0.000
0.500 0.000 0.000
0.000 0.000 0.500
0.000 0.500 0.000
0.500 0.500 0.500
```

Properties
SG: Pm-3m, No. 221

# 9
A plane-wave DFT calculation with PBE was carried out for an optimized crystal structure of Cs5Rb4I.

POSCAR file:
```
Cs5Rb4I
1.0
-6.392 3.531 2.400
-8.781 -2.417 -7.519
-5.895 -7.229 7.244
Cs Rb I
5 4 1
Direct
0.171 0.000 0.655
0.827 0.345 0.000
0.499 0.000 0.000
0.171 0.655 0.000
0.827 0.000 0.345
0.499 0.655 0.345
0.153 0.345 0.345
0.844 0.655 0.655
0.499 0.345 0.655
0.999 0.000 0.000
```

Properties
SG: I4/mmm, No. 139

# 10
A plane-wave DFT calculation with PBE was carried out for an optimized crystal structure of CsRb2ReI8.

POSCAR file:
```
CsRb2ReI8
1.0
-2.678 1.104 7.429
-2.760 -6.284 -0.149
7.466 -6.438 3.620
Rb I Re Cs
2 8 1 1
Direct
0.497 0.673 0.182
0.503 0.327 0.818
0.760 0.165 0.126
0.757 0.833 0.874
0.500 0.250 0.491
0.243 0.167 0.126
0.240 0.835 0.874
0.500 0.750 0.509
0.998 0.667 0.215
0.002 0.333 0.785
0.000 0.000 0.000
0.000 0.000 0.500
```

Properties
SG: P-1, No. 2

# 11
A plane-wave DFT calculation with PBE was carried out for an optimized crystal structure of Cs2RbRhI6.

POSCAR file:
```
Cs2RbRhI6
1.0
8.736 0.000 0.000
0.000 8.736 0.000
4.368 4.368 6.177
I Cs Rh Rb
6 2 1 1
Direct
0.219 0.219 0.562
0.219 0.219 0.000
0.781 0.781 0.438
0.781 0.219 0.000
0.781 0.781 0.000
0.219 0.781 0.000
0.750 0.250 0.500
0.250 0.750 0.500
0.000 0.000 0.000
0.500 0.500 0.000
```

Properties
SG: Fm-3m, No. 225

# 12
A plane-wave DFT calculation with PBE was carried out for an optimized crystal structure of Cs2RbRhI6.

POSCAR file:
```
Cs2RbRhI6
1.0
8.349 0.000 0.000
0.000 9.406 0.000
0.000 0.000 12.354
I Rh Cs Rb
12 2 4 2
Direct
0.228 0.996 0.000
0.000 0.791 0.220
0.730 0.413 0.500
0.770 0.587 0.000
0.270 0.413 0.500
0.772 0.996 0.000
0.500 0.209 0.720
0.272 0.004 0.500
0.728 0.004 0.500
0.500 0.209 0.280
0.000 0.791 0.780
0.230 0.587 0.000
0.500 0.210 0.500
0.000 0.790 0.000
0.500 0.795 0.227
0.500 0.795 0.773
0.000 0.205 0.727
0.000 0.205 0.273
0.000 0.702 0.500
0.500 0.298 0.000
```

Properties
SG: Pmmn, No. 59

no.,size of the total moment (Bohr magnetons per cell),E_tot (eV/atom)
1,0.0,-1.3604
2,0.0,-1.7114
3,0.0,-1.3003
4,1.3,-2.3341
5,0.3,-2.2006
6,0.0,-1.5121
7,0.0,-2.7542
8,0.5,-2.4441
9,0.0,-1.2566
10,3.1,-3.0206
11,0.0,-2.8931
12,0.0,-2.8940